NiI2O6 | GGA+U | optimized geometry

Geometry as POSCAR:
```
NiI2O6
1.0
1.329 5.378 -2.054
-3.109 -3.753 -3.341
-4.423 1.865 2.021
Ni I O
1 2 6
Direct
0.000 0.000 0.000 Ni
0.667 0.333 0.050 I
0.333 0.667 0.950 I
0.351 0.175 0.217 O
0.825 0.649 0.217 O
0.825 0.175 0.217 O
0.649 0.825 0.783 O
0.175 0.351 0.783 O
0.175 0.825 0.783 O
```

## Properties
E above lowest polymorph = 147.3 meV/atom
Final energy = -38.832 eV/cell
Total magnetization = 1.974 μB per formula unit

---

NiOsI2O | GGA+U | optimized geometry

Geometry as POSCAR:
```
NiOsI2O
1.0
5.499 0.000 0.000
0.000 5.499 0.000
0.000 0.000 3.721
I Ni Os O
2 1 1 1
Direct
0.000 0.500 0.000 I
0.500 0.000 0.000 I
0.500 0.500 0.500 Ni
0.000 0.000 0.000 Os
0.000 0.000 0.500 O
```

## Properties
E above lowest polymorph = 0.0 meV/atom
Final energy = -18.639 eV/cell
Total magnetization = 0.020 μB per formula unit

---

NiOsI2O | GGA+U | optimized geometry

Geometry as POSCAR:
```
NiOsI2O
1.0
-3.838 3.173 -1.741
-2.056 0.178 4.855
1.937 2.738 0.720
I Ni Os O
2 1 1 1
Direct
0.000 0.500 0.000 I
0.500 0.000 0.000 I
0.000 0.000 0.000 Ni
0.500 0.500 0.500 Os
0.000 0.000 0.500 O
```

## Properties
E above lowest polymorph = 355.5 meV/atom
Final energy = -16.861 eV/cell
Total magnetization = 1.592 μB per formula unit

---

NiPbIO2 | GGA+U | optimized geometry

Geometry as POSCAR:
```
NiPbIO2
1.0
4.304 0.000 0.000
0.000 4.304 0.000
0.000 0.000 5.256
Pb I O Ni
1 1 2 1
Direct
0.500 0.500 0.500 Pb
0.000 0.000 0.500 I
0.000 0.500 0.000 O
0.500 0.000 0.000 O
0.000 0.000 0.000 Ni
```

## Properties
E above lowest polymorph = 0.0 meV/atom
Final energy = -17.692 eV/cell
Total magnetization = 2.932 μB per formula unit

---

NiPbIO6 | GGA+U | optimized geometry

Geometry as POSCAR:
```
NiPbIO6
1.0
5.262 0.000 0.003
2.631 4.557 0.008
-0.003 -0.007 5.031
Ni Pb I O
1 1 1 6
Direct
0.667 0.667 0.500 Ni
0.000 0.000 0.000 Pb
0.333 0.333 0.500 I
0.019 0.361 0.286 O
0.361 0.019 0.714 O
0.621 0.361 0.714 O
0.019 0.621 0.714 O
0.361 0.621 0.286 O
0.621 0.019 0.286 O
```

## Properties
Final energy = -43.619 eV/cell
Total magnetization = 1.531 μB per formula unit

---

NiPbIO2 | GGA+U | optimized geometry

Geometry as POSCAR:
```
NiPbIO2
1.0
4.161 0.000 0.000
0.000 4.161 0.000
0.000 0.000 6.937
Pb I O Ni
1 1 2 1
Direct
0.000 0.000 0.000 Pb
0.000 0.000 0.500 I
0.000 0.500 0.000 O
0.500 0.000 0.000 O
0.500 0.500 0.500 Ni
```

## Properties
E above lowest polymorph = 23.5 meV/atom
Final energy = -17.575 eV/cell
Total magnetization = 1.280 μB per formula unit